The following is a PBE calculation of an optimized crystal structure of Zr12AlCd3, from Alexandria via LeMat-Bulk.

a b c (Å): 4.4409 4.4409 17.7825
angles (deg): 90.00 90.00 90.00
Element x y z (fractional)
Zr: 0.5000 0.5000 0.5000
Zr: 0.0000 0.5000 0.8798
Zr: 0.5000 0.5000 0.0000
Zr: 0.5000 0.0000 0.3736
Zr: 0.5000 0.5000 0.2483
Zr: 0.0000 0.5000 0.3736
Zr: 0.5000 0.5000 0.7517
Zr: 0.0000 0.5000 0.6264
Zr: 0.5000 0.0000 0.1202
Zr: 0.5000 0.0000 0.8798
Zr: 0.5000 0.0000 0.6264
Zr: 0.0000 0.5000 0.1202
Cd: 0.0000 0.0000 0.7524
Cd: 0.0000 0.0000 0.2476
Cd: 0.0000 0.0000 0.5000
Al: 0.0000 0.0000 0.0000

Calculated values
The calculation puts the magnetic moment at 0.000 μB per atom. For the formation energy, the calculation gives -2.2 eV per formula unit.


The following is a PBE calculation of an optimized crystal structure of ZnIn3, from Alexandria via LeMat-Bulk.

a b c (Å): 7.4030 7.4030 4.6562
angles (deg): 90.00 90.00 128.36
Element x y z (fractional)
In: 0.6664 0.8251 0.7500
In: 0.2969 0.7031 0.2500
In: 0.1749 0.3336 0.7500
In: 0.8251 0.6664 0.2500
In: 0.3336 0.1749 0.2500
In: 0.7031 0.2969 0.7500
Zn: 0.1512 0.8488 0.7500
Zn: 0.8488 0.1512 0.2500

Calculated values
The calculation puts the magnetic moment at 0.000 μB per atom. For the formation energy, the calculation gives 0.4 eV per formula unit.